VASP calculation (PBE with a Hubbard U) on an optimized crystal structure of Cr2NiGeO6.

Computed properties:
DFT total energy in eV/atom: -6.89
Total magnetization in μB per cell: 8.0
DOS(E_F) in states/eV/cell: 0.0

Cell lengths 5.4283, 5.4283, 5.4283 Å; angles 55.51, 55.51, 55.51 degrees
With the nearest neighbours (Å) after each atom.
Sites, in units of the cell vectors:
Cr1 0.0000 0.0000 0.0000  6 O 2.03-2.04
Cr2 0.4984 0.4984 0.4984  6 O 2.00-2.05
Ni1 0.2960 0.2960 0.2960  6 O 2.02-2.18
Ge1 0.8007 0.8007 0.8007  6 O 1.89-1.99
O1 0.0818 0.4186 0.7124  1 Ge 1.89, 2 Cr 2.03-2.05
O2 0.1931 0.8920 0.6082  1 Ge 1.99, 2 Cr 2.00-2.04, 1 Ni 2.02
O3 0.4186 0.7124 0.0818  1 Ge 1.89, 2 Cr 2.03-2.05
O4 0.6082 0.1931 0.8920  1 Ge 1.99, 2 Cr 2.00-2.04, 1 Ni 2.02
O5 0.7124 0.0818 0.4186  1 Ge 1.89, 2 Cr 2.03-2.05
O6 0.8920 0.6082 0.1931  1 Ge 1.99, 2 Cr 2.00-2.04, 1 Ni 2.02